! RbIrOs, optimized geometry, DFT PBE; values from VASP
&SYSTEM
  ibrav = 0, nat = 6, ntyp = 3
/
ATOMIC_SPECIES
Ir 192.22 Ir.upf
Rb 85.47 Rb.upf
Os 190.23 Os.upf
CELL_PARAMETERS angstrom
-1.5774 2.3009 0.5072
-0.3646 -1.1664 4.1577
10.8691 6.5637 2.7945
ATOMIC_POSITIONS angstrom
Ir 2.2366 4.1290 3.6129
Rb 0.4887 2.9671 0.8752
Ir 3.7230 3.8424 1.4044
Os 4.8777 4.1757 3.8577
Rb 8.0961 5.2940 4.4536
Os 6.4304 3.9028 1.6588
! Energy relative to the elements, eV per formula unit: 2.0
! Theoretical density, g/cm³: 9.7